# 1
Computed, not measured: crystalline AgTeCl2 at its relaxed geometry at the GGA-PBE level of DFT.

Cell lengths 3.3408, 4.4539, 6.8695 Å; angles 90.00, 90.00, 90.00 degrees
Space group Pmmm (No. 47)
Symmetry-distinct sites (fractional):
1 Ag 0.0000 0.0000 0.0000 (multiplicity 1)
2 Te 0.5000 0.0000 0.5000 (multiplicity 1)
3 Cl 0.0000 0.5000 0.5000 (multiplicity 1)
4 Cl 0.5000 0.5000 0.0000 (multiplicity 1)

## Properties
DOS at the Fermi energy: 2.74 states/eV/f.u.
crystal system: orthorhombic
polymorph energy (0 for the lowest one): 307 meV/atom

# 2
Computed, not measured: crystalline Na2CeTm2Se6 at its relaxed geometry at the GGA-PBE level of DFT.

Cell lengths 7.1280, 12.3605, 7.4240 Å; angles 90.00, 108.62, 90.00 degrees
Space group C2/m (No. 12)
Symmetry-distinct sites (fractional):
1 Na 0.0000 0.1668 0.0000 (multiplicity 4)
2 Ce 0.0000 0.0000 0.5000 (multiplicity 2)
3 Tm 0.0000 0.3336 0.5000 (multiplicity 4)
4 Se 0.2398 0.5000 0.7241 (multiplicity 4)
5 Se 0.2415 0.1687 0.7243 (multiplicity 8)

## Properties
crystal system: monoclinic

# 3
Computed, not measured: crystalline Y2HoAu6 at its relaxed geometry at the GGA-PBE level of DFT.

Cell lengths 5.2576, 16.1444, 5.2395 Å; angles 90.00, 119.54, 90.00 degrees
Space group C2/m (No. 12)
Symmetry-distinct sites (fractional):
1 Y 0.0000 0.1652 0.0000 (multiplicity 4)
2 Ho 0.0000 0.5000 0.5000 (multiplicity 2)
3 Au 0.1574 0.0000 0.8274 (multiplicity 4)
4 Au 0.1638 0.3349 0.3332 (multiplicity 8)

## Properties
DOS at the Fermi energy: 4.74 states/eV/f.u.
crystal system: monoclinic
formation enthalpy at 0 K: -692 kJ/mol of formula units

Number 1: calculated total energy -2.46 eV per atom. Number 2: calculated total energy -5.15 eV per atom. Number 3: calculated total energy -4.93 eV per atom.